Record 1
VASP calculation (PBE-GGA) on a geometry-optimized BaSr2Pb structure.

POSCAR file:
```
BaSr2Pb
1.0
-2.223 3.134 6.666
2.223 -3.134 6.666
2.223 3.134 -6.666
Ba Sr Pb
1 2 1
direct
0.000 0.000 0.000 Ba
0.303 0.803 0.500 Sr
0.697 0.197 0.500 Sr
0.500 0.500 0.000 Pb
```

E_tot (eV per cell): -10.1
Space-group type: Immm (71)

=====

Record 2
VASP calculation (PBE-GGA) on a geometry-optimized PIrAuC structure.

POSCAR file:
```
PIrAuC
1.0
2.919 0.000 0.000
-0.975 3.699 0.000
-0.987 -1.397 5.638
P Ir Au C
1 1 1 1
direct
0.000 0.000 0.000 P
0.085 0.450 0.803 Ir
0.587 0.761 0.472 Au
0.506 0.880 0.136 C
```

E_tot (eV per cell): -24.8
Offset from the most stable computed form (meV/atom): 109
Space-group type: P1 (1)